Below is RbRe2MoI at its PBEsol-relaxed geometry, with properties calculated at the meta-GGA SCAN level.

Cell lengths 4.695, 4.755, 4.755 Å; angles 90.00, 90.00, 90.00 degrees
Atoms (fractional coordinates):
I  0.500  0.500  0.500
Re  0.000  0.000  0.500
Re  0.000  0.500  0.000
Mo  0.500  0.000  0.000
Rb  0.000  0.000  0.000

Summary:
As for the size of the total moment: 0.58 μB/atom. The space-group type is No. 123. Its crystal system is tetragonal. The value obtained for the energy relative to the elements, uncorrected is 21.55 eV/f.u. The final energy is -42.602 eV/atom.



Below is NiRh2 at its PBEsol-relaxed geometry, with properties calculated at the meta-GGA SCAN level.

Cell lengths 3.652, 3.688, 5.878 Å; angles 90.00, 108.10, 90.00 degrees
Atoms (fractional coordinates):
Ni  0.919  0.250  0.838
Ni  0.081  0.750  0.162
Rh  0.582  0.250  0.165
Rh  0.418  0.750  0.835
Rh  0.248  0.250  0.497
Rh  0.752  0.750  0.503

Summary:
As for the size of the total moment: 0.59 μB/atom. The space-group type is No. 63. The value obtained for the formation energy from the elements is 0.136 eV per formula unit. Its crystal system is orthorhombic. The final energy is -27.860 eV/atom. The energy above the most stable polymorph in this dataset comes out at 8 meV/atom.



Below is Y2SiNi at its PBEsol-relaxed geometry, with properties calculated at the meta-GGA SCAN level.

Cell lengths 4.706, 4.706, 4.706 Å; angles 60.00, 60.00, 60.00 degrees
Atoms (fractional coordinates):
Ni  0.500  0.500  0.500
Si  0.750  0.750  0.750
Y  0.000  0.000  0.000
Y  0.250  0.250  0.250

Summary:
As for the size of the total moment: 0.47 μB/atom. The space-group type is No. 216. Its crystal system is cubic. The value obtained for the energy relative to the elements, uncorrected is 0.29 eV/f.u. The final energy is -20.396 eV/atom.



Question: What is the formula in the first record?
Answer: RbRe2MoI